BaLiZnCu2: relaxed, GGA-PBE.

Summary:
Raw total energy: -2.572 eV/atom
E_form: 89 meV per atom
SG: No. 123

a b c (Å): 4.845 4.845 4.863
angles (deg): 90.00 90.00 90.00
Fractional positions:
1 Ba 0.000 0.000 0.000
2 Li 0.500 0.500 0.000
3 Zn 0.500 0.500 0.500
4 Cu 0.000 0.500 0.500
5 Cu 0.500 0.000 0.500

Pm4ErSn4: relaxed, GGA-PBE.

Summary:
Raw total energy: -4.876 eV/atom
E_form: -478 meV per atom
SG: No. 86

a b c (Å): 9.472 9.472 6.417
angles (deg): 90.00 90.00 90.00
Fractional positions:
1 Pm 0.037 0.669 0.116
2 Pm 0.169 0.963 0.616
3 Pm 0.331 0.537 0.616
4 Pm 0.463 0.831 0.116
5 Pm 0.537 0.169 0.884
6 Pm 0.669 0.463 0.384
7 Pm 0.831 0.037 0.384
8 Pm 0.963 0.331 0.884
9 Er 0.250 0.250 0.250
10 Er 0.750 0.750 0.750
11 Sn 0.022 0.644 0.610
12 Sn 0.144 0.978 0.110
13 Sn 0.356 0.522 0.110
14 Sn 0.478 0.856 0.610
15 Sn 0.522 0.144 0.390
16 Sn 0.644 0.478 0.890
17 Sn 0.856 0.022 0.890
18 Sn 0.978 0.356 0.390

TiPC3: relaxed, GGA-PBE.

Summary:
Raw total energy: -5.886 eV/atom
E_form: 2309 meV per atom
Polymorph energy (0 for the lowest one): 0.871 eV/atom
SG: No. 221

a b c (Å): 4.047 4.047 4.047
angles (deg): 90.00 90.00 90.00
Fractional positions:
1 Ti 0.000 0.000 0.000
2 P 0.500 0.500 0.500
3 C 0.000 0.000 0.500
4 C 0.000 0.500 0.000
5 C 0.500 0.000 0.000

TcN: relaxed, GGA-PBE.

Summary:
Raw total energy: -8.998 eV/atom
Polymorph energy (0 for the lowest one): 0.343 eV/atom
SG: No. 187

a b c (Å): 2.821 2.821 2.906
angles (deg): 90.00 90.00 120.00
Fractional positions:
1 Tc 0.000 0.000 0.000
2 N 0.667 0.333 0.500

Sc3Ag: relaxed, GGA-PBE.

Summary:
Raw total energy: -5.418 eV/atom
E_form: 43 meV per atom
Polymorph energy (0 for the lowest one): 0.175 eV/atom
SG: No. 225

a b c (Å): 4.991 4.991 4.991
angles (deg): 60.00 60.00 60.00
Fractional positions:
1 Sc 0.000 0.000 0.000
2 Sc 0.250 0.250 0.250
3 Sc 0.750 0.750 0.750
4 Ag 0.500 0.500 0.500

Y2TlPt9: relaxed, GGA-PBE.

Summary:
Raw total energy: -6.483 eV/atom
E_form: -678 meV per atom
SG: No. 123

a b c (Å): 4.121 4.121 12.350
angles (deg): 90.00 90.00 90.00
Fractional positions:
1 Y 0.000 0.000 0.167
2 Y 0.000 0.000 0.833
3 Tl 0.000 0.000 0.500
4 Pt 0.000 0.500 0.000
5 Pt 0.000 0.500 0.334
6 Pt 0.000 0.500 0.666
7 Pt 0.500 0.000 0.000
8 Pt 0.500 0.000 0.334
9 Pt 0.500 0.000 0.666
10 Pt 0.500 0.500 0.168
11 Pt 0.500 0.500 0.500
12 Pt 0.500 0.500 0.832

YTeI2N: relaxed, GGA-PBE.

Summary:
Raw total energy: -3.866 eV/atom
Polymorph energy (0 for the lowest one): 0.252 eV/atom
SG: No. 123

a b c (Å): 6.057 6.057 5.990
angles (deg): 90.00 90.00 90.00
Fractional positions:
1 Y 0.000 0.000 0.000
2 Te 0.000 0.000 0.500
3 I 0.000 0.500 0.000
4 I 0.500 0.000 0.000
5 N 0.500 0.500 0.500

Li2HPdRu: relaxed, GGA-PBE.

Summary:
Raw total energy: -4.384 eV/atom
SG: No. 123

a b c (Å): 3.862 3.862 3.717
angles (deg): 90.00 90.00 90.00
Fractional positions:
1 Li 0.000 0.500 0.000
2 Li 0.500 0.000 0.000
3 H 0.000 0.000 0.000
4 Pd 0.500 0.500 0.500
5 Ru 0.000 0.000 0.500

Ac2TbSc: relaxed, GGA-PBE.

Summary:
Raw total energy: -4.465 eV/atom
E_form: 330 meV per atom
Polymorph energy (0 for the lowest one): 0.255 eV/atom
SG: No. 166

a b c (Å): 12.920 12.920 12.920
angles (deg): 16.29 16.29 16.29
Fractional positions:
1 Ac 0.086 0.086 0.086
2 Ac 0.914 0.914 0.914
3 Tb 0.500 0.500 0.500
4 Sc 0.000 0.000 0.000

CdMoOs2: relaxed, GGA-PBE.

Summary:
Raw total energy: -7.802 eV/atom
E_form: 750 meV per atom
SG: No. 216

a b c (Å): 4.487 4.487 4.487
angles (deg): 60.00 60.00 60.00
Fractional positions:
1 Cd 0.000 0.000 0.000
2 Mo 0.750 0.750 0.750
3 Os 0.250 0.250 0.250
4 Os 0.500 0.500 0.500

Dy6Y2Ho3Zr: relaxed, GGA-PBE.

Summary:
Raw total energy: -5.190 eV/atom
E_form: 45 meV per atom
SG: No. 12

a b c (Å): 6.076 6.076 11.609
angles (deg): 94.96 94.96 119.90
Fractional positions:
1 Dy 0.082 0.408 0.746
2 Dy 0.244 0.244 0.255
3 Dy 0.408 0.082 0.746
4 Dy 0.592 0.918 0.254
5 Dy 0.756 0.756 0.745
6 Dy 0.918 0.592 0.254
7 Y 0.333 0.667 0.500
8 Y 0.667 0.333 0.500
9 Ho 0.166 0.834 0.000
10 Ho 0.500 0.500 0.000
11 Ho 0.834 0.166 0.000
12 Zr 0.000 0.000 0.500

ZrHgPbAu2: relaxed, GGA-PBE.

Summary:
Raw total energy: -3.060 eV/atom
E_form: 762 meV per atom
SG: No. 123

a b c (Å): 5.219 5.219 5.680
angles (deg): 90.00 90.00 90.00
Fractional positions:
1 Zr 0.000 0.000 0.000
2 Hg 0.500 0.500 0.000
3 Pb 0.000 0.000 0.500
4 Au 0.000 0.500 0.500
5 Au 0.500 0.000 0.500